# 1
# Tc2MoP

A geometry-optimized Tc2MoP structure (PBE, Alexandria via LeMat-Bulk).

Results
SG: P4/mmm
DFT total energy, Ry/atom: -0.68180

Lattice parameters (Å, degrees): 4.2854 4.2854 3.0783 90.00 90.00 90.00
With the nearest neighbours (Å) after each atom.
Element x y z (fractional)
P (0.0000, 0.0000, 0.5000)  8 Tc 2.64
Mo (0.5000, 0.5000, 0.5000)  8 Tc 2.64
Tc (0.0000, 0.5000, 0.0000)  4 Mo 2.64, 4 P 2.64
Tc (0.5000, 0.0000, 0.0000)  4 Mo 2.64, 4 P 2.64

# 2
# TcSbPdBr2

A geometry-optimized TcSbPdBr2 structure (PBE, Alexandria via LeMat-Bulk).

Results
SG: P4/mmm
Energy relative to the elements, uncorrected, eV/atom: 1.0913
DFT total energy, Ry/atom: -0.25828

Lattice parameters (Å, degrees): 5.6450 5.2792 5.6450 90.00 90.00 90.00
With the nearest neighbours (Å) after each atom.
Element x y z (fractional)
Tc (0.0000, 0.5000, 0.0000)  2 Sb 2.64
Pd (0.5000, 0.5000, 0.5000)  8 Br 3.86, 4 Tc 3.99
Sb (0.0000, 0.0000, 0.0000)  2 Tc 2.64, 4 Br 2.82
Br (0.5000, 0.0000, 0.0000)  2 Sb 2.82
Br (0.0000, 0.0000, 0.5000)  2 Sb 2.82

# 3
# Ba2SrGa

A geometry-optimized Ba2SrGa structure (PBE, Alexandria via LeMat-Bulk).

Results
SG: P4/mmm
DFT total energy, Ry/atom: -0.15920

Lattice parameters (Å, degrees): 4.8134 5.9943 5.9943 90.00 90.00 90.00
With the nearest neighbours (Å) after each atom.
Element x y z (fractional)
Sr (0.5000, 0.5000, 0.5000)  8 Ba 3.84, 4 Ga 4.24
Ba (0.0000, 0.5000, 0.0000)  4 Ga 3.84, 4 Sr 3.84, 4 Ba 4.24
Ba (0.0000, 0.0000, 0.5000)  4 Sr 3.84, 4 Ga 3.84, 4 Ba 4.24
Ga (0.5000, 0.0000, 0.0000)  8 Ba 3.84, 4 Sr 4.24

What did the third record say?
# Ba2SrGa

A geometry-optimized Ba2SrGa structure (PBE, Alexandria via LeMat-Bulk).

Results
SG: P4/mmm
DFT total energy, Ry/atom: -0.15920

Lattice parameters (Å, degrees): 4.8134 5.9943 5.9943 90.00 90.00 90.00
With the nearest neighbours (Å) after each atom.
Element x y z (fractional)
Sr (0.5000, 0.5000, 0.5000)  8 Ba 3.84, 4 Ga 4.24
Ba (0.0000, 0.5000, 0.0000)  4 Ga 3.84, 4 Sr 3.84, 4 Ba 4.24
Ba (0.0000, 0.0000, 0.5000)  4 Sr 3.84, 4 Ga 3.84, 4 Ba 4.24
Ga (0.5000, 0.0000, 0.0000)  8 Ba 3.84, 4 Sr 4.24

- Among the records above, which one has the highest DFT total energy?
  Ba2SrGa